Material: ScMn2Br
Method: DFT, GGA-PBE
State: optimized geometry

Structure (CIF):
```
data_ScMn2Br
_chemical_formula_sum 'Sc1 Mn2 Br1'
_cell_length_a 3.829
_cell_length_b 3.829
_cell_length_c 4.941
_cell_angle_alpha 90.00
_cell_angle_beta 90.00
_cell_angle_gamma 90.00
_space_group_name_H-M_alt 'P 1'
_space_group_IT_number 1
loop_
_space_group_symop_operation_xyz
'x,y,z'
loop_
_atom_site_label
_atom_site_fract_x
_atom_site_fract_y
_atom_site_fract_z
Sc1 0.000 0.000 0.000
Mn1 0.000 0.500 0.500
Mn2 0.500 0.000 0.500
Br1 0.500 0.500 0.000
```

Output
The value obtained for the formation energy without anion corrections is 0.29 eV/atom. The density of states at the Fermi level comes out at 4.369 states/eV per cell. Its calculated volume is 72.5 Å³ per cell. The space-group type is No. 123. The value obtained for the total energy is -0.46265 Ry/atom.

Material: ScMnBr2
Method: DFT, GGA-PBE
State: optimized geometry

Structure (CIF):
```
data_ScMnBr2
_chemical_formula_sum 'Sc1 Mn1 Br2'
_cell_length_a 5.082
_cell_length_b 5.082
_cell_length_c 5.082
_cell_angle_alpha 60.00
_cell_angle_beta 60.00
_cell_angle_gamma 60.00
_space_group_name_H-M_alt 'P 1'
_space_group_IT_number 1
loop_
_space_group_symop_operation_xyz
'x,y,z'
loop_
_atom_site_label
_atom_site_fract_x
_atom_site_fract_y
_atom_site_fract_z
Sc1 0.000 0.000 0.000
Mn1 0.250 0.250 0.250
Br1 0.500 0.500 0.500
Br2 0.750 0.750 0.750
```

Output
The value obtained for the formation energy without anion corrections is 0.15 eV/atom. The density of states at the Fermi level comes out at 6.323 states/eV per cell. Its calculated volume is 92.8 Å³ per cell. The space-group type is No. 216. The value obtained for the total energy is -0.33559 Ry/atom.

Material: Sc2MnBr
Method: DFT, GGA-PBE
State: optimized geometry

Structure (CIF):
```
data_Sc2MnBr
_chemical_formula_sum 'Sc2 Mn1 Br1'
_cell_length_a 8.869
_cell_length_b 8.869
_cell_length_c 8.869
_cell_angle_alpha 22.54
_cell_angle_beta 22.54
_cell_angle_gamma 22.54
_space_group_name_H-M_alt 'P 1'
_space_group_IT_number 1
loop_
_space_group_symop_operation_xyz
'x,y,z'
loop_
_atom_site_label
_atom_site_fract_x
_atom_site_fract_y
_atom_site_fract_z
Sc1 0.102 0.102 0.102
Sc2 0.898 0.898 0.898
Mn1 0.500 0.500 0.500
Br1 0.000 0.000 0.000
```

Output
The value obtained for the formation energy without anion corrections is -0.13 eV/atom. The density of states at the Fermi level comes out at 4.171 states/eV per cell. Its calculated volume is 89.9 Å³ per cell. The space-group type is No. 166. The value obtained for the total energy is -0.44144 Ry/atom.